AlSiIr | PBE-GGA | relaxed

Values from the calculation:
For the raw total energy, the calculation gives -239.1 eV/cell. As for the energy relative to the elements, uncorrected: -1.90 eV per formula unit.

a = 7.032 Å, b = 10.852 Å, c = 6.965 Å
α = 90.00°, β = 90.00°, γ = 90.00°
Space group Ima2 (No. 46)
One atom of each set of equivalent atoms:
Al (0.250, 0.001, 0.000) x4
Al (0.250, 0.200, 0.556) x4
Al (0.250, 0.699, 0.056) x4
Si (0.000, 0.000, 0.608) x4
Si (0.000, 0.142, 0.232) x8
Ir (0.001, 0.649, 0.366) x8
Ir (0.250, 0.000, 0.363) x4